No. 1
VASP calculation (meta-GGA SCAN) on a crystal of Ta2BeCl relaxed with PBEsol.

```
Ta2BeCl
1.0
2.843 0.000 0.000
0.000 4.453 0.000
-1.422 -2.226 4.807
Be Cl Ta
1 1 2
Direct
0.494 0.494 0.987
0.269 0.769 0.539
0.977 0.977 0.954
0.760 0.260 0.520
```

Calculated volume   61 Å³/cell
Symmetry   Imm2 (44)
Offset from the most stable computed form   0.058 eV/atom
Total moment   0.000 μB per atom
Energy relative to the elements, uncorrected   430 meV/atom


No. 2
VASP calculation (meta-GGA SCAN) on a crystal of ZrBeCo relaxed with PBEsol.

```
ZrBeCo
1.0
3.237 0.000 0.000
0.000 3.789 0.000
0.000 -1.894 3.281
Be Co Zr
1 1 1
Direct
0.000 0.000 0.000
0.000 0.333 0.667
0.500 0.667 0.333
```

Calculated volume   40 Å³/cell
Symmetry   P-6m2 (187)
Offset from the most stable computed form   0.000 eV/atom
Total moment   0.114 μB per atom
Energy of formation   -186 meV/atom


No. 3
VASP calculation (meta-GGA SCAN) on a crystal of InHg3 relaxed with PBEsol.

```
InHg3
1.0
3.252 0.000 0.000
0.000 4.735 0.000
0.000 0.000 6.168
Hg In
3 1
Direct
0.500 0.500 0.747
0.000 0.000 0.500
0.500 0.500 0.253
0.000 0.000 0.000
```

Calculated volume   95 Å³/cell
Symmetry   Pmmm (47)
Total moment   0.000 μB per atom
Energy of formation   22 meV/atom


No. 4
VASP calculation (meta-GGA SCAN) on a crystal of Si2IrSe relaxed with PBEsol.

```
Si2IrSe
1.0
4.057 0.000 0.000
-2.029 4.140 0.016
0.000 1.975 3.544
Si Ir Se
2 1 1
Direct
0.250 0.500 0.250
0.750 0.500 0.750
0.500 0.000 0.500
0.000 0.000 0.000
```

Calculated volume   59 Å³/cell
Symmetry   I4/mmm (139)
Total moment   0.000 μB per atom
Energy relative to the elements, uncorrected   453 meV/atom


No. 5
VASP calculation (meta-GGA SCAN) on a crystal of CaZr2Co relaxed with PBEsol.

```
CaZr2Co
1.0
3.226 0.000 0.000
0.000 5.164 0.000
-1.613 -2.582 4.984
Ca Co Zr
1 1 2
Direct
0.500 0.000 0.000
0.000 0.500 0.000
0.697 0.697 0.394
0.303 0.303 0.606
```

Calculated volume   83 Å³/cell
Symmetry   Immm (71)
Offset from the most stable computed form   0.102 eV/atom
Total moment   0.001 μB per atom
Energy of formation   147 meV/atom


No. 6
VASP calculation (meta-GGA SCAN) on a crystal of HfRhW3 relaxed with PBEsol.

```
HfRhW3
1.0
-0.843 1.311 4.380
-0.375 -4.458 1.262
4.556 -0.124 0.914
Rh Hf W
1 1 3
Direct
0.000 0.000 0.000
0.500 0.500 0.500
0.000 0.500 0.000
0.000 0.000 0.500
0.500 0.000 0.000
```

Calculated volume   100 Å³/cell
Symmetry   Pm-3m (221)
Total moment   0.000 μB per atom
Energy of formation   1676 meV/atom


No. 7
VASP calculation (meta-GGA SCAN) on a crystal of Co3HgW relaxed with PBEsol.

```
Co3HgW
1.0
-0.684 3.914 2.107
-3.389 -1.839 2.315
2.876 -1.236 3.229
Co Hg W
3 1 1
Direct
0.000 0.500 0.000
0.000 0.000 0.500
0.500 0.000 0.000
0.000 0.000 0.000
0.500 0.500 0.500
```

Calculated volume   91 Å³/cell
Symmetry   Pm-3m (221)
Total moment   1.357 μB per atom
Energy of formation   2384 meV/atom


No. 8
VASP calculation (meta-GGA SCAN) on a crystal of GdCO4 relaxed with PBEsol.

```
GdCO4
1.0
-0.547 -2.835 3.888
-1.911 -5.462 -4.252
7.598 -2.227 -0.554
Gd C O
4 4 16
Direct
0.000 0.894 0.329
0.500 0.106 0.829
0.000 0.394 0.171
0.500 0.606 0.671
0.000 0.945 0.688
0.500 0.055 0.188
0.000 0.445 0.812
0.500 0.555 0.312
0.000 0.709 0.092
0.500 0.291 0.592
0.000 0.209 0.408
0.500 0.791 0.908
0.500 0.948 0.316
0.000 0.052 0.816
0.500 0.448 0.184
0.000 0.552 0.684
0.731 0.604 0.381
0.769 0.396 0.881
0.269 0.104 0.119
0.231 0.896 0.619
0.269 0.604 0.381
0.231 0.396 0.881
0.731 0.104 0.119
0.769 0.896 0.619
```

Calculated volume   276 Å³/cell
Symmetry   Pnma (62)
Total moment   1.333 μB per atom
Energy relative to the elements, uncorrected   -2174 meV/atom


No. 9
VASP calculation (meta-GGA SCAN) on a crystal of Li2Ca relaxed with PBEsol.

```
Li2Ca
1.0
4.389 0.000 0.000
0.000 4.389 0.000
-2.194 -2.194 8.807
Ca Li
2 4
Direct
0.250 0.750 0.500
0.000 0.000 0.000
0.831 0.331 0.662
0.419 0.419 0.838
0.669 0.169 0.338
0.581 0.581 0.162
```

Calculated volume   170 Å³/cell
Symmetry   I4_1/amd (141)
Offset from the most stable computed form   0.112 eV/atom
Total moment   0.000 μB per atom
Energy of formation   94 meV/atom


No. 10
VASP calculation (meta-GGA SCAN) on a crystal of NaBrN2O relaxed with PBEsol.

```
NaBrN2O
1.0
4.436 0.000 0.000
0.000 4.671 0.000
0.000 0.000 4.671
Na O Br N
1 1 1 2
Direct
0.000 0.000 0.000
0.500 0.000 0.000
0.500 0.500 0.500
0.000 0.000 0.500
0.000 0.500 0.000
```

Calculated volume   97 Å³/cell
Symmetry   P4/mmm (123)
Total moment   1.601 μB per atom
Energy relative to the elements, uncorrected   1734 meV/atom


No. 11
VASP calculation (meta-GGA SCAN) on a crystal of ZnPt2 relaxed with PBEsol.

```
ZnPt2
1.0
-2.264 1.565 0.183
-1.421 -4.712 1.915
2.469 2.981 5.053
Zn Pt
2 4
Direct
0.045 0.089 0.597
0.729 0.459 0.956
0.013 0.026 0.987
0.390 0.779 0.275
0.666 0.332 0.340
0.324 0.648 0.679
```

Calculated volume   87 Å³/cell
Symmetry   Cm (8)
Total moment   0.000 μB per atom
Energy of formation   -364 meV/atom


No. 12
VASP calculation (meta-GGA SCAN) on a crystal of LaTa2Ag relaxed with PBEsol.

```
LaTa2Ag
1.0
-0.464 2.119 2.274
-3.544 -1.311 0.499
2.372 -4.598 4.770
La Ag Ta
1 1 2
Direct
0.500 0.500 0.500
0.500 0.500 0.000
0.000 0.000 0.811
0.000 0.000 0.189
```

Calculated volume   84 Å³/cell
Symmetry   Pmmm (47)
Offset from the most stable computed form   0.026 eV/atom
Total moment   0.000 μB per atom
Energy of formation   668 meV/atom


No. 13
VASP calculation (meta-GGA SCAN) on a crystal of NaAg2Bi2 relaxed with PBEsol.

```
NaAg2Bi2
1.0
4.603 0.000 0.000
0.000 4.603 0.000
-2.301 -2.301 6.387
Na Bi Ag
1 2 2
Direct
0.000 0.000 0.000
0.382 0.382 0.764
0.618 0.618 0.236
0.250 0.750 0.500
0.750 0.250 0.500
```

Calculated volume   135 Å³/cell
Symmetry   I4/mmm (139)
Offset from the most stable computed form   0.000 eV/atom
Total moment   0.000 μB per atom
Energy of formation   -53 meV/atom